A geometry-optimized LiGa6Au12 structure, computed with PBE.

- energy above the lowest structure with this stoichiometry (eV/atom) = 0.000
- total magnetization (μB/cell) = 0.00
- calculated volume (Å³ per cell) = 348.3
- energy (eV/atom) = -3.3197

Lattice parameters (Å, degrees): 7.481 7.481 7.481 107.04 107.04 107.04
Fractional coordinates of all 19 atoms:
Li 0.000 0.000 0.000
Ga 0.645 0.765 0.342
Ga 0.658 0.355 0.235
Ga 0.235 0.658 0.355
Ga 0.355 0.235 0.658
Ga 0.342 0.645 0.765
Ga 0.765 0.342 0.645
Au 0.919 0.675 0.584
Au 0.584 0.919 0.675
Au 0.675 0.584 0.919
Au 0.081 0.325 0.416
Au 0.416 0.081 0.325
Au 0.325 0.416 0.081
Au 0.018 0.877 0.317
Au 0.123 0.683 0.982
Au 0.683 0.982 0.123
Au 0.982 0.123 0.683
Au 0.877 0.317 0.018
Au 0.317 0.018 0.877